Record 1
Entry from Alexandria: a relaxed structure of LiLa2InNi (GGA-PBE).

Cell: 5.4331 5.4331 4.9836 Å, 90.00 90.00 90.00°
Positions (direct):
Li  0.0000  0.0000  0.0000
La  0.0000  0.5000  0.5000
La  0.5000  0.0000  0.5000
In  0.5000  0.5000  0.0000
Ni  0.5000  0.5000  0.5000

Computed properties:
Final energy in eV per formula unit: -21.173


Record 2
Entry from Alexandria: a relaxed structure of AlCdSe2 (GGA-PBE).

Cell: 4.3077 4.3077 7.7249 Å, 90.00 90.00 129.35°
Positions (direct):
Al  0.0000  0.0000  0.0000
Cd  0.0000  0.0000  0.5000
Se  0.5000  0.5000  0.2191
Se  0.5000  0.5000  0.7809

Computed properties:
Energy relative to the elements, uncorrected in eV/atom: -0.29
Final energy in eV per formula unit: -12.779


Record 3
Entry from Alexandria: a relaxed structure of LiNbTe3 (GGA-PBE).

Cell: 5.4794 5.4794 5.4794 Å, 90.00 90.00 90.00°
Positions (direct):
Li  0.0000  0.0000  0.0000
Nb  0.5000  0.5000  0.5000
Te  0.0000  0.5000  0.5000
Te  0.5000  0.0000  0.5000
Te  0.5000  0.5000  0.0000

Computed properties:
Energy relative to the elements, uncorrected in eV/atom: -0.10
Final energy in eV per formula unit: -21.884


Record 4
Entry from Alexandria: a relaxed structure of Ca3Ga5I12 (GGA-PBE).

Cell: 16.3412 16.3412 16.3412 Å, 109.47 109.47 109.47°
Positions (direct):
Ca  0.1250  0.2500  0.3750
Ca  0.1250  0.3750  0.7500
Ca  0.2500  0.3750  0.1250
Ca  0.2500  0.8750  0.6250
Ca  0.3750  0.1250  0.2500
Ca  0.3750  0.7500  0.1250
Ca  0.6250  0.2500  0.8750
Ca  0.6250  0.8750  0.7500
Ca  0.7500  0.1250  0.3750
Ca  0.7500  0.6250  0.8750
Ca  0.8750  0.6250  0.2500
Ca  0.8750  0.7500  0.6250
Ga  0.0000  0.0000  0.0000
Ga  0.0000  0.0000  0.5000
Ga  0.0000  0.5000  0.0000
Ga  0.0000  0.5000  0.5000
Ga  0.1250  0.7500  0.8750
Ga  0.1250  0.8750  0.2500
Ga  0.2500  0.1250  0.8750
Ga  0.2500  0.6250  0.3750
Ga  0.3750  0.2500  0.6250
Ga  0.3750  0.6250  0.7500
Ga  0.5000  0.0000  0.0000
Ga  0.5000  0.0000  0.5000
Ga  0.5000  0.5000  0.0000
Ga  0.5000  0.5000  0.5000
Ga  0.6250  0.3750  0.2500
Ga  0.6250  0.7500  0.3750
Ga  0.7500  0.3750  0.6250
Ga  0.7500  0.8750  0.1250
Ga  0.8750  0.1250  0.7500
Ga  0.8750  0.2500  0.1250
I  0.0508  0.2247  0.1311
I  0.0508  0.3261  0.9197
I  0.0803  0.6311  0.4063
I  0.0803  0.9492  0.6739
I  0.0937  0.7247  0.6739
I  0.0937  0.8689  0.4197
I  0.1311  0.0508  0.2247
I  0.1311  0.5803  0.9063
I  0.1739  0.2247  0.5937
I  0.1739  0.4492  0.5803
I  0.2247  0.1311  0.0508
I  0.2247  0.5937  0.1739
I  0.2753  0.3261  0.9063
I  0.2753  0.4492  0.3689
I  0.3261  0.9063  0.2753
I  0.3261  0.9197  0.0508
I  0.3689  0.2753  0.4492
I  0.3689  0.5937  0.9197
I  0.4063  0.0803  0.6311
I  0.4063  0.8261  0.7753
I  0.4197  0.0937  0.8689
I  0.4197  0.8261  0.5508
I  0.4492  0.3689  0.2753
I  0.4492  0.5803  0.1739
I  0.5508  0.4197  0.8261
I  0.5508  0.6311  0.7247
I  0.5803  0.1739  0.4492
I  0.5803  0.9063  0.1311
I  0.5937  0.1739  0.2247
I  0.5937  0.9197  0.3689
I  0.6311  0.4063  0.0803
I  0.6311  0.7247  0.5508
I  0.6739  0.0803  0.9492
I  0.6739  0.0937  0.7247
I  0.7247  0.5508  0.6311
I  0.7247  0.6739  0.0937
I  0.7753  0.4063  0.8261
I  0.7753  0.8689  0.9492
I  0.8261  0.5508  0.4197
I  0.8261  0.7753  0.4063
I  0.8689  0.4197  0.0937
I  0.8689  0.9492  0.7753
I  0.9063  0.1311  0.5803
I  0.9063  0.2753  0.3261
I  0.9197  0.0508  0.3261
I  0.9197  0.3689  0.5937
I  0.9492  0.6739  0.0803
I  0.9492  0.7753  0.8689

Computed properties:
Energy relative to the elements, uncorrected in eV/atom: -0.74
Final energy in eV per formula unit: -54.567


Record 5
Entry from Alexandria: a relaxed structure of Pr3Mg5Ag2 (GGA-PBE).

Cell: 9.6988 9.6988 9.6988 Å, 96.78 95.92 141.15°
Positions (direct):
Pr  0.1371  0.2484  0.3855
Pr  0.2500  0.2500  0.0000
Pr  0.3629  0.7484  0.1113
Pr  0.6371  0.2516  0.8887
Pr  0.7500  0.7500  0.0000
Pr  0.8629  0.7516  0.6145
Mg  0.0117  0.7500  0.2617
Mg  0.1077  0.6573  0.7650
Mg  0.2500  0.7500  0.5000
Mg  0.3923  0.1573  0.5496
Mg  0.4883  0.7500  0.7383
Mg  0.5117  0.2500  0.2617
Mg  0.6077  0.8427  0.4504
Mg  0.7500  0.2500  0.5000
Mg  0.8923  0.3427  0.2350
Mg  0.9883  0.2500  0.7383
Ag  0.1476  0.8588  0.0064
Ag  0.3524  0.3588  0.7111
Ag  0.6476  0.6412  0.2889
Ag  0.8524  0.1412  0.9936

Computed properties:
Final energy in eV per formula unit: -28.637


Record 6
Entry from Alexandria: a relaxed structure of LaCd2Sn (GGA-PBE).

Cell: 5.1744 5.1744 5.9843 Å, 90.00 90.00 120.00°
Positions (direct):
La  0.0000  0.0000  0.0000
Cd  0.0000  0.0000  0.5000
Cd  0.3333  0.6667  0.5000
Sn  0.6667  0.3333  0.5000

Computed properties:
Final energy in eV per formula unit: -9.761


Record 7
Entry from Alexandria: a relaxed structure of Ho2BeSiC (GGA-PBE).

Cell: 6.2878 3.7094 7.8664 Å, 90.00 107.75 90.00°
Positions (direct):
Ho  0.1997  0.2500  0.3885
Ho  0.2166  0.2500  0.9652
Ho  0.7834  0.7500  0.0348
Ho  0.8003  0.7500  0.6115
Be  0.4560  0.7500  0.2477
Be  0.5440  0.2500  0.7523
Si  0.3293  0.7500  0.7015
Si  0.6707  0.2500  0.2985
C  0.1744  0.7500  0.1743
C  0.8256  0.2500  0.8257

Computed properties:
Energy relative to the elements, uncorrected in eV/atom: -0.54
Final energy in eV per formula unit: -30.242


Record 8
Entry from Alexandria: a relaxed structure of Ca4ZrTc (GGA-PBE).

Cell: 6.3685 6.3685 6.3685 Å, 60.00 60.00 60.00°
Positions (direct):
Ca  0.1249  0.1249  0.1249
Ca  0.1249  0.1249  0.6254
Ca  0.1249  0.6254  0.1249
Ca  0.6254  0.1249  0.1249
Zr  0.5000  0.5000  0.5000
Tc  0.7500  0.7500  0.7500

Computed properties:
Final energy in eV per formula unit: -20.440


Record 9
Entry from Alexandria: a relaxed structure of SmAl2Co2 (GGA-PBE).

Cell: 10.3155 10.3155 10.3155 Å, 156.98 156.98 32.79°
Positions (direct):
Sm  0.1331  0.1331  0.0000
Sm  0.8669  0.8669  0.0000
Al  0.0000  0.5000  0.5000
Al  0.3092  0.3092  0.0000
Al  0.5000  0.0000  0.5000
Al  0.6908  0.6908  0.0000
Co  0.2500  0.7500  0.5000
Co  0.4337  0.4337  0.0000
Co  0.5663  0.5663  0.0000
Co  0.7500  0.2500  0.5000

Computed properties:
Final energy in eV per formula unit: -28.392


Record 10
Entry from Alexandria: a relaxed structure of Pr3Ho4In (GGA-PBE).

Cell: 13.1363 13.1363 5.8905 Å, 97.75 97.75 15.05°
Positions (direct):
Pr  0.0000  0.0000  0.0000
Pr  0.1504  0.1504  0.2075
Pr  0.8496  0.8496  0.7925
Ho  0.0999  0.0999  0.6740
Ho  0.2825  0.2825  0.2649
Ho  0.7175  0.7175  0.7351
Ho  0.9001  0.9001  0.3260
In  0.5000  0.5000  0.5000

Computed properties:
Final energy in eV per formula unit: -34.891